No. 1
Entry from Alexandria: crystalline PuThTl at its relaxed geometry (PBE).

Properties
- SG: I4mm
- Distance to the lowest polymorph of the same formula: 0.062 eV per atom
- DFT formation energy: 0.05 eV/atom
- Calculated volume: 84 Å³ per cell

Cell: 4.0542 4.0542 5.8734 Å, 110.19 110.19 90.00°
Last column: nearest neighbours and their distance in Å.
Fractional positions:
Pu1 0.6667 0.6667 0.3334  5 Th 3.33-3.43, 5 Tl 3.33-3.43
Th1 0.3317 0.3317 0.6635  5 Pu 3.33-3.43, 5 Tl 3.35-3.39
Tl1 0.0016 0.0016 0.0031  5 Pu 3.33-3.43, 5 Th 3.35-3.39


No. 2
Entry from Alexandria: crystalline PuThTlZn at its relaxed geometry (PBE).

Properties
- SG: F-43m
- DFT formation energy: -0.01 eV/atom
- Calculated volume: 107 Å³ per cell

Cell: 5.3324 5.3324 5.3324 Å, 60.00 60.00 60.00°
Last column: nearest neighbours and their distance in Å.
Fractional positions:
Tl1 0.0000 0.0000 0.0000  4 Pu 3.27, 4 Th 3.27
Zn1 0.5000 0.5000 0.5000  4 Th 3.27, 4 Pu 3.27
Th1 0.2500 0.2500 0.2500  4 Tl 3.27, 4 Zn 3.27
Pu1 0.7500 0.7500 0.7500  4 Zn 3.27, 4 Tl 3.27


No. 3
Entry from Alexandria: crystalline Tm4PuTh at its relaxed geometry (PBE).

Properties
- SG: P2_1/m
- Distance to the lowest polymorph of the same formula: 0.000 eV per atom
- DFT formation energy: 0.14 eV/atom
- Calculated volume: 360 Å³ per cell

Cell: 5.5611 9.4877 6.8144 Å, 90.00 90.00 90.43°
Last column: nearest neighbours and their distance in Å.
Fractional positions:
Tm1 0.2479 0.7449 0.4983  8 Tm 3.38-3.66, 2 Th 3.50-3.56, 3 Pu 3.54-3.67
Tm2 0.7542 0.9142 0.2500  3 Tm 3.23-3.61, 4 Th 3.36-3.42
Tm3 0.7521 0.2551 0.9983  8 Tm 3.38-3.66, 2 Th 3.50-3.56, 3 Pu 3.54-3.67
Th1 0.2569 0.1137 0.2500  1 Pu 2.88
Th2 0.7431 0.8863 0.7500  1 Pu 2.88
Pu1 0.2401 0.4169 0.2500  1 Th 2.88, 2 Tm 3.14-3.17
Pu2 0.7599 0.5831 0.7500  1 Th 2.88, 2 Tm 3.14-3.17
Tm4 0.7397 0.5743 0.2500  4 Pu 3.14-3.41, 3 Tm 3.23-3.48
Tm5 0.2479 0.7449 0.0017  8 Tm 3.38-3.66, 2 Th 3.50-3.56, 3 Pu 3.54-3.67
Tm6 0.2603 0.4257 0.7500  4 Pu 3.14-3.41, 3 Tm 3.23-3.48
Tm7 0.2458 0.0858 0.7500  3 Tm 3.23-3.61, 4 Th 3.36-3.42
Tm8 0.7521 0.2551 0.5017  8 Tm 3.38-3.66, 2 Th 3.50-3.56, 3 Pu 3.54-3.67


No. 4
Entry from Alexandria: crystalline TmPuTh6 at its relaxed geometry (PBE).

Properties
- SG: R-3m
- DFT formation energy: 0.36 eV/atom
- Calculated volume: 270 Å³ per cell

Cell: 6.5799 8.4554 6.5803 Å, 50.02 79.97 74.27°
Last column: nearest neighbours and their distance in Å.
Fractional positions:
Th1 0.5923 0.7796 0.0000  1 Pu 2.60
Th2 0.2206 0.4080 0.3717  1 Pu 2.59
Th3 0.7794 0.5920 0.6283  1 Pu 2.59
Th4 0.4077 0.2204 0.0000  1 Pu 2.60
Tm1 0.0000 0.0000 0.0000  12 Th 3.66-3.84
Th5 0.7794 0.2203 0.3717  1 Pu 2.59
Th6 0.2206 0.7797 0.6283  1 Pu 2.59
Pu1 0.5000 0.5000 0.0000  6 Th 2.59-2.60


No. 5
Entry from Alexandria: crystalline Tm4PuTh at its relaxed geometry (PBE).

Properties
- SG: C2/m
- Distance to the lowest polymorph of the same formula: 0.235 eV per atom
- DFT formation energy: 0.37 eV/atom
- Calculated volume: 171 Å³ per cell

Cell: 8.5515 8.5515 5.9673 Å, 83.62 83.62 23.29°
Last column: nearest neighbours and their distance in Å.
Fractional positions:
Pu1 0.5000 0.5000 0.0000  6 Tm 3.34-3.39, 4 Th 3.45, 2 Pu 3.45
Tm1 0.8380 0.8380 0.8907  2 Pu 3.34, 1 Th 3.37, 9 Tm 3.42-3.54
Th1 0.0000 0.0000 0.5000  6 Tm 3.37-3.39, 4 Pu 3.45, 2 Th 3.45
Tm2 0.3354 0.3354 0.3867  2 Th 3.39, 1 Pu 3.39, 9 Tm 3.42-3.50
Tm3 0.6646 0.6646 0.6133  2 Th 3.39, 1 Pu 3.39, 9 Tm 3.42-3.50
Tm4 0.1620 0.1620 0.1093  2 Pu 3.34, 1 Th 3.37, 9 Tm 3.42-3.54


No. 6
Entry from Alexandria: crystalline Tm2PuTh at its relaxed geometry (PBE).

Properties
- SG: R3m
- Distance to the lowest polymorph of the same formula: 0.010 eV per atom
- DFT formation energy: 0.11 eV/atom
- Calculated volume: 120 Å³ per cell

Cell: 3.4810 3.4810 11.6099 Å, 81.38 81.38 60.00°
Last column: nearest neighbours and their distance in Å.
Fractional positions:
Tm1 0.2518 0.2518 0.2447  3 Pu 3.44, 6 Tm 3.48, 3 Th 3.54
Th1 0.5003 0.5003 0.4992  6 Th 3.48, 6 Tm 3.54-3.55
Pu1 0.6665 0.6665 0.0006  6 Tm 3.44-3.45, 6 Pu 3.48
Tm2 0.0815 0.0815 0.7555  3 Pu 3.45, 6 Tm 3.48, 3 Th 3.55


No. 7
Entry from Alexandria: crystalline Tm2PuTh at its relaxed geometry (PBE).

Properties
- SG: P4/mmm
- Distance to the lowest polymorph of the same formula: 0.006 eV per atom
- DFT formation energy: 0.11 eV/atom
- Calculated volume: 118 Å³ per cell

Cell: 5.0214 4.8462 4.8462 Å, 90.00 90.00 90.00°
Last column: nearest neighbours and their distance in Å.
Fractional positions:
Th1 0.5000 0.0000 0.0000  4 Pu 3.43, 8 Tm 3.49
Tm1 0.0000 0.5000 0.0000  4 Tm 3.43, 4 Th 3.49, 4 Pu 3.49
Pu1 0.5000 0.5000 0.5000  4 Th 3.43, 8 Tm 3.49
Tm2 0.0000 0.0000 0.5000  4 Tm 3.43, 4 Pu 3.49, 4 Th 3.49


No. 8
Entry from Alexandria: crystalline Tm2PuTh at its relaxed geometry (PBE).

Properties
- SG: R-3m
- Distance to the lowest polymorph of the same formula: 0.151 eV per atom
- DFT formation energy: 0.25 eV/atom
- Calculated volume: 124 Å³ per cell

Cell: 3.4450 3.4450 12.2313 Å, 81.90 81.90 60.00°
Last column: nearest neighbours and their distance in Å.
Fractional positions:
Pu1 0.0000 0.0000 0.0000  2 Tm 3.26, 6 Pu 3.44
Tm1 0.0900 0.0900 0.7301  1 Pu 3.26, 3 Th 3.42, 6 Tm 3.44
Th1 0.5000 0.5000 0.5000  6 Tm 3.42, 6 Th 3.44
Tm2 0.9100 0.9100 0.2699  1 Pu 3.26, 3 Th 3.42, 6 Tm 3.44


No. 9
Entry from Alexandria: crystalline Tm2PuTh at its relaxed geometry (PBE).

Properties
- SG: P4/mmm
- Distance to the lowest polymorph of the same formula: 0.000 eV per atom
- DFT formation energy: 0.10 eV/atom
- Calculated volume: 120 Å³ per cell

Cell: 3.4898 3.4898 9.8704 Å, 90.00 90.00 90.00°
Last column: nearest neighbours and their distance in Å.
Fractional positions:
Th1 0.5000 0.5000 0.5000  4 Th 3.49, 8 Tm 3.51
Tm1 0.0000 0.0000 0.7525  4 Pu 3.47, 4 Tm 3.49, 4 Th 3.51
Tm2 0.0000 0.0000 0.2475  4 Pu 3.47, 4 Tm 3.49, 4 Th 3.51
Pu1 0.5000 0.5000 0.0000  8 Tm 3.47, 4 Pu 3.49


No. 10
Entry from Alexandria: crystalline TmPuThZn at its relaxed geometry (PBE).

Properties
- SG: F-43m
- DFT formation energy: 0.12 eV/atom
- Calculated volume: 102 Å³ per cell

Cell: 5.2488 5.2488 5.2488 Å, 60.00 60.00 60.00°
Last column: nearest neighbours and their distance in Å.
Fractional positions:
Tm1 0.2500 0.2500 0.2500  4 Zn 3.21, 4 Pu 3.21
Th1 0.7500 0.7500 0.7500  4 Zn 3.21, 4 Pu 3.21
Pu1 0.0000 0.0000 0.0000  4 Tm 3.21, 4 Th 3.21
Zn1 0.5000 0.5000 0.5000  4 Th 3.21, 4 Tm 3.21


No. 11
Entry from Alexandria: crystalline TmPuThZr at its relaxed geometry (PBE).

Properties
- SG: F-43m
- DFT formation energy: 0.21 eV/atom
- Calculated volume: 109 Å³ per cell

Cell: 5.3665 5.3665 5.3665 Å, 60.00 60.00 60.00°
Last column: nearest neighbours and their distance in Å.
Fractional positions:
Zr1 0.2500 0.2500 0.2500  4 Tm 3.29, 4 Th 3.29
Tm1 0.5000 0.5000 0.5000  4 Pu 3.29, 4 Zr 3.29
Th1 0.0000 0.0000 0.0000  4 Zr 3.29, 4 Pu 3.29
Pu1 0.7500 0.7500 0.7500  4 Th 3.29, 4 Tm 3.29


No. 12
Entry from Alexandria: crystalline PuThU4 at its relaxed geometry (PBE).

Properties
- SG: F-43m
- DFT formation energy: 0.25 eV/atom
- Calculated volume: 137 Å³ per cell

Cell: 5.7823 5.7823 5.7823 Å, 60.00 60.00 60.00°
Last column: nearest neighbours and their distance in Å.
Fractional positions:
U1 0.6254 0.6254 0.6254  6 U 2.88-2.90
U2 0.6254 0.6254 0.1239  6 U 2.88-2.90
U3 0.6254 0.1239 0.6254  6 U 2.88-2.90
Th1 0.2500 0.2500 0.2500  12 U 3.39, 4 Pu 3.54
Pu1 0.0000 0.0000 0.0000  12 U 3.39, 4 Th 3.54
U4 0.1239 0.6254 0.6254  6 U 2.88-2.90